Record 1
Computed, not measured: an optimized crystal structure of KRuF2 at the PBE-GGA level of DFT.

a b c (Å): 6.272 6.272 6.272
angles (deg): 90.00 90.00 90.00
Space group Fm-3m (No. 225)
Asymmetric unit:
K: 0.000 0.000 0.000 (multiplicity 4)
Ru: 0.000 0.000 0.500 (multiplicity 4)
F: 0.250 0.250 0.250 (multiplicity 8)

The calculation puts the uncorrected energy at -69.79 eV/cell. Its uncorrected formation energy is -832.7 meV/atom. For the density, the calculation gives 4.796 Mg/m³.

=====

Record 2
Computed, not measured: an optimized crystal structure of CsTaCdSe4 at the PBE-GGA level of DFT.

a b c (Å): 6.312 8.071 10.512
angles (deg): 90.00 106.80 90.00
Space group P2_1/m (No. 11)
Asymmetric unit:
Cs: 0.174 0.250 0.372 (multiplicity 2)
Ta: 0.360 0.750 0.213 (multiplicity 2)
Cd: 0.154 0.250 0.814 (multiplicity 2)
Se: 0.062 0.750 0.007 (multiplicity 2)
Se: 0.215 0.750 0.404 (multiplicity 2)
Se: 0.418 0.002 0.781 (multiplicity 4)

The calculation puts the uncorrected energy at -66.86 eV/cell. Its uncorrected formation energy is -838.6 meV/atom. For the density, the calculation gives 4.807 Mg/m³.

=====

Record 3
Computed, not measured: an optimized crystal structure of CaNiGe2 at the PBE-GGA level of DFT.

a b c (Å): 6.581 6.581 6.581
angles (deg): 90.00 90.00 90.00
Space group Fm-3m (No. 225)
Asymmetric unit:
Ca: 0.000 0.000 0.000 (multiplicity 4)
Ni: 0.000 0.000 0.500 (multiplicity 4)
Ge: 0.250 0.250 0.250 (multiplicity 8)

The calculation puts the uncorrected energy at -69.90 eV/cell. For the density, the calculation gives 5.687 Mg/m³. For the energy relative to the elements, the calculation gives -0.11 eV/atom.

=====

Record 4
Computed, not measured: an optimized crystal structure of RbHg2Mo at the PBE-GGA level of DFT.

a b c (Å): 7.733 7.733 7.733
angles (deg): 90.00 90.00 90.00
Space group Fm-3m (No. 225)
Asymmetric unit:
Rb: 0.000 0.000 0.000 (multiplicity 4)
Hg: 0.250 0.250 0.250 (multiplicity 8)
Mo: 0.000 0.000 0.500 (multiplicity 4)

The calculation puts the uncorrected energy at -35.44 eV/cell. For the density, the calculation gives 8.369 Mg/m³. For the energy relative to the elements, the calculation gives 0.89 eV/atom.

=====

Record 5
Computed, not measured: an optimized crystal structure of Fe2TcWN at the PBE-GGA level of DFT.

a b c (Å): 3.831 3.831 4.052
angles (deg): 90.00 90.00 90.00
Space group P4/mmm (No. 123)
Asymmetric unit:
Fe: 0.000 0.500 0.000 (multiplicity 2)
Tc: 0.000 0.000 0.500 (multiplicity 1)
W: 0.500 0.500 0.500 (multiplicity 1)
N: 0.500 0.500 0.000 (multiplicity 1)

The calculation puts the uncorrected energy at -48.42 eV/cell. Its uncorrected formation energy is 30.2 meV/atom. For the density, the calculation gives 11.377 Mg/m³.

=====

Record 6
Computed, not measured: an optimized crystal structure of HfBiPt2I at the PBE-GGA level of DFT.

a b c (Å): 5.066 5.066 5.441
angles (deg): 90.00 90.00 90.00
Space group P4/mmm (No. 123)
Asymmetric unit:
Hf: 0.000 0.000 0.000 (multiplicity 1)
Bi: 0.500 0.500 0.500 (multiplicity 1)
Pt: 0.000 0.500 0.000 (multiplicity 2)
I: 0.000 0.000 0.500 (multiplicity 1)

The calculation puts the uncorrected energy at -25.33 eV/cell. Its uncorrected formation energy is 427.6 meV/atom. For the density, the calculation gives 10.757 Mg/m³.

=====

Record 7
Computed, not measured: an optimized crystal structure of RbMg6Cu at the PBE-GGA level of DFT.

a b c (Å): 4.841 6.120 17.206
angles (deg): 90.00 90.00 90.00
Space group Amm2 (No. 38)
Asymmetric unit:
Rb: 0.000 0.000 0.000 (multiplicity 2)
Mg: 0.000 0.243 0.729 (multiplicity 4)
Mg: 0.500 0.000 0.176 (multiplicity 2)
Mg: 0.500 0.000 0.664 (multiplicity 2)
Mg: 0.500 0.244 0.342 (multiplicity 4)
Cu: 0.000 0.000 0.351 (multiplicity 2)

The calculation puts the uncorrected energy at -25.91 eV/cell. For the density, the calculation gives 1.921 Mg/m³. For the energy relative to the elements, the calculation gives 0.21 eV/atom.

=====

Record 8
Computed, not measured: an optimized crystal structure of Ba2Zn4GaSn3 at the PBE-GGA level of DFT.

a b c (Å): 4.740 4.740 11.299
angles (deg): 90.00 90.00 90.00
Space group P-4m2 (No. 115)
Asymmetric unit:
Ba: 0.000 0.500 0.246 (multiplicity 2)
Zn: 0.000 0.000 0.000 (multiplicity 1)
Zn: 0.000 0.500 0.628 (multiplicity 2)
Zn: 0.500 0.500 0.000 (multiplicity 1)
Ga: 0.000 0.000 0.500 (multiplicity 1)
Sn: 0.000 0.500 0.870 (multiplicity 2)
Sn: 0.500 0.500 0.500 (multiplicity 1)

The calculation puts the uncorrected energy at -27.93 eV/cell. For the density, the calculation gives 6.294 Mg/m³. For the energy relative to the elements, the calculation gives -0.40 eV/atom.